1.
A plane-wave DFT calculation with PBE-GGA was carried out for crystalline Dy5Er4Th3 at its relaxed geometry.

POSCAR file:
```
Dy5Er4Th3
1.0
-3.174 3.081 -3.601
-7.559 -5.574 -2.624
-2.382 7.859 4.308
Dy Th Er
5 3 4
direct
0.654 0.944 0.748
0.346 0.056 0.252
0.271 0.392 0.066
0.500 0.500 0.500
0.729 0.608 0.934
0.000 0.500 0.500
0.453 0.729 0.365
0.547 0.271 0.635
0.058 0.154 0.730
0.942 0.846 0.270
0.162 0.802 0.874
0.838 0.198 0.126
```

The space group is C2/m (12). The formation energy comes out at 8.3 kcal/mol of atoms. The final energy is -59.22 eV/cell.

2.
A plane-wave DFT calculation with PBE-GGA was carried out for crystalline AgW at its relaxed geometry.

POSCAR file:
```
AgW
1.0
3.290 0.000 0.000
0.000 3.290 0.000
0.000 0.000 6.386
W Ag
2 2
direct
0.000 0.000 0.528
0.500 0.500 0.722
0.000 0.000 0.003
0.500 0.500 0.247
```

The space group is P4/nmm (129). The formation energy comes out at 13.2 kcal/mol of atoms. The final energy is -29.32 eV/cell.

3.
A plane-wave DFT calculation with PBE-GGA was carried out for crystalline La3TbY2Te6 at its relaxed geometry.

POSCAR file:
```
La3TbY2Te6
1.0
-5.098 2.728 -5.102
-0.251 -7.393 2.178
-2.779 3.351 6.509
Te La Tb Y
6 3 1 2
direct
0.256 0.256 0.766
0.744 0.744 0.234
0.588 0.922 0.766
0.078 0.412 0.234
0.922 0.588 0.766
0.412 0.078 0.234
0.500 0.500 0.500
0.167 0.833 0.500
0.833 0.167 0.500
0.000 0.000 0.000
0.334 0.666 0.000
0.666 0.334 0.000
```

The value obtained for the formation energy from raw total energies is -141 kJ/mol of atoms. The space group is C2/m (12). The final energy is -68.72 eV/cell.

4.
A plane-wave DFT calculation with PBE-GGA was carried out for crystalline IrSeBr2 at its relaxed geometry.

POSCAR file:
```
IrSeBr2
1.0
-3.945 2.368 1.647
0.991 -4.112 2.438
1.216 0.729 4.665
Br Ir Se
2 1 1
direct
0.500 0.000 0.500
0.000 0.000 0.000
0.000 0.500 0.500
0.500 0.500 0.000
```

The value obtained for the formation energy from raw total energies is 82 kJ/mol of atoms. The space group is C2/m (12). The final energy is -12.31 eV/cell.

5.
A plane-wave DFT calculation with PBE-GGA was carried out for crystalline Sr2BeSiTe at its relaxed geometry.

POSCAR file:
```
Sr2BeSiTe
1.0
5.928 0.000 0.000
0.000 5.928 0.000
0.000 0.000 4.058
Sr Be Si Te
2 1 1 1
direct
0.500 0.000 0.000
0.000 0.500 0.000
0.000 0.000 0.000
0.000 0.000 0.500
0.500 0.500 0.500
```

The value obtained for the formation energy from raw total energies is -52 kJ/mol of atoms. The space group is P4/mmm (123). The final energy is -18.34 eV/cell.

6.
A plane-wave DFT calculation with PBE-GGA was carried out for crystalline HfIr2Pb at its relaxed geometry.

POSCAR file:
```
HfIr2Pb
1.0
7.410 0.000 0.000
0.000 7.410 0.000
3.705 3.705 2.959
Hf Ir Pb
2 4 2
direct
0.250 0.750 0.500
0.500 0.500 0.000
0.875 0.850 0.750
0.150 0.625 0.250
0.600 0.125 0.250
0.375 0.400 0.750
0.750 0.250 0.500
0.000 0.000 0.000
```

The space group is I-42d (122). The formation energy comes out at 3.2 kcal/mol of atoms. The final energy is -61.67 eV/cell.

> Look up the final energy of the second one.

-29.32 eV/cell